1.
# TmTlSnSe3 (PBE-GGA, relaxed)
data_TmTlSnSe3
_chemical_formula_sum 'Tm4 Tl4 Sn4 Se12'
_symmetry_space_group_name_H-M 'P 1'
_symmetry_Int_Tables_number 1
_symmetry_space_group_name_Hall 'P 1'
_cell_length_a 14.837
_cell_length_b 4.115
_cell_length_c 12.189
_cell_angle_alpha 90.00
_cell_angle_beta 90.00
_cell_angle_gamma 90.00
loop_
_atom_site_label
_atom_site_fract_x
_atom_site_fract_y
_atom_site_fract_z
Tm1 0.004 0.250 0.145
Tm2 0.496 0.750 0.645
Tm3 0.504 0.250 0.355
Tm4 0.996 0.750 0.855
Tl1 0.232 0.750 0.592
Tl2 0.268 0.250 0.092
Tl3 0.732 0.750 0.908
Tl4 0.768 0.250 0.408
Sn1 0.046 0.750 0.406
Sn2 0.454 0.250 0.906
Sn3 0.546 0.750 0.094
Sn4 0.954 0.250 0.594
Se1 0.091 0.250 0.739
Se2 0.106 0.750 0.041
Se3 0.142 0.250 0.312
Se4 0.358 0.750 0.812
Se5 0.394 0.250 0.541
Se6 0.409 0.750 0.239
Se7 0.591 0.250 0.761
Se8 0.606 0.750 0.459
Se9 0.642 0.250 0.188
Se10 0.858 0.750 0.688
Se11 0.894 0.250 0.959
Se12 0.909 0.750 0.261
# Electronic total energy ... -4.592 eV/atom

---

2.
# TmTlSnSe3 (PBE-GGA, relaxed)
data_TmTlSnSe3
_chemical_formula_sum 'Tm2 Tl2 Sn2 Se6'
_symmetry_space_group_name_H-M 'P 1'
_symmetry_Int_Tables_number 1
_symmetry_space_group_name_Hall 'P 1'
_cell_length_a 8.295
_cell_length_b 8.295
_cell_length_c 11.445
_cell_angle_alpha 90.00
_cell_angle_beta 90.00
_cell_angle_gamma 151.57
loop_
_atom_site_label
_atom_site_fract_x
_atom_site_fract_y
_atom_site_fract_z
Tm1 0.000 0.000 0.000
Tm2 0.000 0.000 0.500
Tl1 0.303 0.697 0.750
Tl2 0.697 0.303 0.250
Sn1 0.373 0.627 0.250
Sn2 0.627 0.373 0.750
Se1 0.010 0.990 0.750
Se2 0.379 0.621 0.506
Se3 0.379 0.621 0.994
Se4 0.621 0.379 0.006
Se5 0.621 0.379 0.494
Se6 0.990 0.010 0.250
# Electronic total energy ... -4.498 eV/atom

---

3.
# ZrTlSnSe3 (PBE-GGA, relaxed)
data_ZrTlSnSe3
_chemical_formula_sum 'Zr2 Tl2 Sn2 Se6'
_symmetry_space_group_name_H-M 'P 1'
_symmetry_Int_Tables_number 1
_symmetry_space_group_name_Hall 'P 1'
_cell_length_a 8.033
_cell_length_b 8.033
_cell_length_c 11.545
_cell_angle_alpha 90.00
_cell_angle_beta 90.00
_cell_angle_gamma 152.87
loop_
_atom_site_label
_atom_site_fract_x
_atom_site_fract_y
_atom_site_fract_z
Zr1 0.000 0.000 0.000
Zr2 0.000 0.000 0.500
Tl1 0.315 0.685 0.750
Tl2 0.685 0.315 0.250
Sn1 0.368 0.632 0.250
Sn2 0.632 0.368 0.750
Se1 0.007 0.993 0.250
Se2 0.377 0.623 0.002
Se3 0.377 0.623 0.498
Se4 0.623 0.377 0.502
Se5 0.623 0.377 0.998
Se6 0.993 0.007 0.750
# Electronic total energy ... -4.954 eV/atom